# 1
A plane-wave DFT calculation with SCAN was carried out for Y2TlCu at its PBEsol-relaxed geometry.

Computed properties:
Energy relative to the elements: -0.4171 eV per atom

Cell and atoms, written as extended XYZ:
```
4
Lattice="3.798 0.000 0.000 0.000 4.510 0.000 -1.899 0.000 5.607" Properties=species:S:1:pos:R:3 pbc="T T T"
Y 0.000 0.000 1.100
Y 0.000 2.255 4.443
Tl 1.899 2.255 1.967
Cu 1.899 0.000 3.689
```

# 2
A plane-wave DFT calculation with SCAN was carried out for YTl2Cu at its PBEsol-relaxed geometry.

Computed properties:
Energy relative to the elements: -0.1130 eV per atom
Polymorph energy (0 for the lowest one): 0.00 eV/f.u.

Cell and atoms, written as extended XYZ:
```
4
Lattice="-1.675 -0.300 4.683 -4.498 -1.936 0.918 -0.395 -4.440 2.225" Properties=species:S:1:pos:R:3 pbc="T T T"
Cu 0.000 0.000 0.000
Tl -4.926 -5.007 5.869
Tl -1.642 -1.669 1.956
Y -3.284 -3.338 3.913
```

# 3
A plane-wave DFT calculation with SCAN was carried out for Y2TlCu at its PBEsol-relaxed geometry.

Computed properties:
Energy relative to the elements: -0.4167 eV per atom

Cell and atoms, written as extended XYZ:
```
4
Lattice="-2.646 -0.062 -2.544 -3.479 -0.509 3.630 -0.414 5.027 0.309" Properties=species:S:1:pos:R:3 pbc="T T T"
Y -0.207 2.514 0.154
Y -1.739 -0.255 1.815
Tl -3.269 2.228 0.697
Cu -1.323 -0.031 -1.272
```

# 4
A plane-wave DFT calculation with SCAN was carried out for Zr3TlCu at its PBEsol-relaxed geometry.

Computed properties:
Energy relative to the elements: 0.1820 eV per atom

Cell and atoms, written as extended XYZ:
```
5
Lattice="-3.607 1.920 -2.626 2.477 -0.922 -4.076 -2.109 -4.366 -0.294" Properties=species:S:1:pos:R:3 pbc="T T T"
Tl -1.620 -1.684 -3.498
Cu 0.000 0.000 0.000
Zr 1.238 -0.461 -2.038
Zr -1.055 -2.183 -0.147
Zr -1.804 0.960 -1.313
```

# 5
A plane-wave DFT calculation with SCAN was carried out for ZrTlCu2 at its PBEsol-relaxed geometry.

Computed properties:
Energy relative to the elements: 0.0281 eV per atom

Cell and atoms, written as extended XYZ:
```
4
Lattice="3.122 0.000 0.000 0.000 3.122 0.000 0.000 0.000 6.880" Properties=species:S:1:pos:R:3 pbc="T T T"
Cu 0.000 0.000 0.265
Cu 1.561 1.561 1.425
Tl 0.000 0.000 3.202
Zr 1.561 1.561 5.427
```

# 6
A plane-wave DFT calculation with SCAN was carried out for ZrTlCu2 at its PBEsol-relaxed geometry.

Computed properties:
Energy relative to the elements: 0.2313 eV per atom

Cell and atoms, written as extended XYZ:
```
4
Lattice="-1.004 -2.844 -1.073 -1.124 -2.180 2.056 -8.174 1.307 -0.593" Properties=species:S:1:pos:R:3 pbc="T T T"
Cu -7.959 1.221 -0.566
Cu -7.954 -2.697 0.264
Tl -5.391 -1.763 0.165
Zr -2.322 -1.030 0.129
```

# 7
A plane-wave DFT calculation with SCAN was carried out for TmCu at its PBEsol-relaxed geometry.

Computed properties:
Energy relative to the elements: -0.3522 eV per atom

Cell and atoms, written as extended XYZ:
```
2
Lattice="-3.211 0.699 0.690 0.546 -0.693 3.240 0.817 3.210 0.549" Properties=species:S:1:pos:R:3 pbc="T T T"
Tm 0.000 0.000 0.000
Cu -0.924 1.608 2.240
```

# 8
A plane-wave DFT calculation with SCAN was carried out for YTmCu2 at its PBEsol-relaxed geometry.

Computed properties:
Energy relative to the elements: -0.3205 eV per atom

Cell and atoms, written as extended XYZ:
```
4
Lattice="4.792 0.000 0.000 2.396 4.150 0.000 2.396 1.383 3.913" Properties=species:S:1:pos:R:3 pbc="T T T"
Y 0.000 0.000 0.000
Tm 4.792 2.767 1.956
Cu 7.188 4.150 2.935
Cu 2.396 1.383 0.978
```

# 9
A plane-wave DFT calculation with SCAN was carried out for Tm2ZnCu at its PBEsol-relaxed geometry.

Computed properties:
Energy relative to the elements: -0.3849 eV per atom

Cell and atoms, written as extended XYZ:
```
4
Lattice="-3.603 -2.273 -2.255 0.522 -4.597 -1.352 -2.453 -3.473 2.269" Properties=species:S:1:pos:R:3 pbc="T T T"
Zn 0.000 0.000 0.000
Tm -1.383 -2.586 -0.334
Tm -4.150 -7.757 -1.003
Cu -2.767 -5.171 -0.669
```

# 10
A plane-wave DFT calculation with SCAN was carried out for ZrVCu at its PBEsol-relaxed geometry.

Computed properties:
Energy relative to the elements: -0.0880 eV per atom

Cell and atoms, written as extended XYZ:
```
12
Lattice="4.970 0.000 0.000 -2.485 4.447 0.000 0.000 0.000 8.310" Properties=species:S:1:pos:R:3 pbc="T T T"
Zr 2.485 1.552 6.796
Zr 0.000 2.999 5.748
Zr 0.000 2.999 2.562
Zr 2.485 1.552 1.515
V 0.000 1.429 0.000
V 3.677 0.740 4.155
V 1.293 0.740 4.155
V 2.485 2.864 4.155
Cu 0.000 0.006 6.262
Cu 0.000 0.006 2.049
Cu -1.223 3.674 0.000
Cu 1.223 3.674 0.000
```

# 11
A plane-wave DFT calculation with SCAN was carried out for CuW at its PBEsol-relaxed geometry.

Computed properties:
Energy relative to the elements: 0.3729 eV per atom
Polymorph energy (0 for the lowest one): 0.00 eV/f.u.

Cell and atoms, written as extended XYZ:
```
4
Lattice="2.603 0.000 0.000 -1.302 4.438 -0.014 0.000 -0.625 4.746" Properties=species:S:1:pos:R:3 pbc="T T T"
Cu 1.302 2.911 2.915
Cu 0.000 0.902 1.817
W 1.302 0.518 4.109
W 0.000 3.294 0.623
```

# 12
A plane-wave DFT calculation with SCAN was carried out for CuW at its PBEsol-relaxed geometry.

Computed properties:
Energy relative to the elements: 0.6628 eV per atom
Polymorph energy (0 for the lowest one): 0.58 eV/f.u.

Cell and atoms, written as extended XYZ:
```
2
Lattice="3.000 0.000 0.000 0.000 3.000 0.000 0.000 0.000 3.000" Properties=species:S:1:pos:R:3 pbc="T T T"
Cu 0.000 0.000 0.000
W 1.500 1.500 1.500
```

# 13
A plane-wave DFT calculation with SCAN was carried out for CuW at its PBEsol-relaxed geometry.

Computed properties:
Energy relative to the elements: 0.4014 eV per atom
Polymorph energy (0 for the lowest one): 0.06 eV/f.u.

Cell and atoms, written as extended XYZ:
```
4
Lattice="2.706 0.000 0.000 -1.353 2.344 0.000 0.000 0.000 8.836" Properties=species:S:1:pos:R:3 pbc="T T T"
Cu 0.000 1.563 1.002
Cu 1.353 0.781 7.834
W 0.000 1.563 5.639
W 1.353 0.781 3.197
```

# 14
A plane-wave DFT calculation with SCAN was carried out for CuW3 at its PBEsol-relaxed geometry.

Computed properties:
Energy relative to the elements: 0.3968 eV per atom
Polymorph energy (0 for the lowest one): 0.19 eV/f.u.

Cell and atoms, written as extended XYZ:
```
4
Lattice="2.631 0.000 0.000 -1.315 4.554 -0.011 0.000 -0.552 4.987" Properties=species:S:1:pos:R:3 pbc="T T T"
Cu 0.000 0.000 0.000
W 1.315 -0.276 2.493
W 0.000 1.920 3.781
W 1.315 2.081 1.195
```

# 15
A plane-wave DFT calculation with SCAN was carried out for CuW3 at its PBEsol-relaxed geometry.

Computed properties:
Energy relative to the elements: 0.3487 eV per atom
Polymorph energy (0 for the lowest one): 0.00 eV/f.u.

Cell and atoms, written as extended XYZ:
```
4
Lattice="-0.625 -3.014 1.072 3.042 -1.564 -2.622 1.679 2.778 3.832" Properties=species:S:1:pos:R:3 pbc="T T T"
Cu 0.000 0.000 0.000
W 1.165 -1.257 2.100
W 1.208 -2.289 -0.775
W 2.931 -0.543 0.182
```

# 16
A plane-wave DFT calculation with SCAN was carried out for CuW3 at its PBEsol-relaxed geometry.

Computed properties:
Energy relative to the elements: 0.3755 eV per atom
Polymorph energy (0 for the lowest one): 0.11 eV/f.u.

Cell and atoms, written as extended XYZ:
```
4
Lattice="-2.444 -0.355 0.990 0.847 -2.149 1.320 1.960 4.798 6.557" Properties=species:S:1:pos:R:3 pbc="T T T"
Cu 0.000 0.000 0.000
W 0.714 2.450 6.215
W 0.980 2.399 3.279
W -0.351 -0.157 2.652
```

# 17
A plane-wave DFT calculation with SCAN was carried out for YCuW2 at its PBEsol-relaxed geometry.

Computed properties:
Energy relative to the elements: 0.5985 eV per atom

Cell and atoms, written as extended XYZ:
```
4
Lattice="3.846 0.000 0.000 0.000 3.846 0.000 -1.923 -1.923 4.705" Properties=species:S:1:pos:R:3 pbc="T T T"
Cu 0.000 0.000 0.000
W 1.923 0.000 2.353
W 0.000 1.923 2.353
Y 1.923 1.923 0.000
```

# 18
A plane-wave DFT calculation with SCAN was carried out for Y2CuW at its PBEsol-relaxed geometry.

Computed properties:
Energy relative to the elements: 0.6797 eV per atom

Cell and atoms, written as extended XYZ:
```
4
Lattice="3.060 0.000 0.000 -1.530 4.688 0.015 0.000 -1.148 5.675" Properties=species:S:1:pos:R:3 pbc="T T T"
Cu 0.000 -0.574 2.837
W 1.530 0.000 0.000
Y 1.530 1.417 4.247
Y 0.000 2.122 1.443
```

# 19
A plane-wave DFT calculation with SCAN was carried out for ZnCu2W at its PBEsol-relaxed geometry.

Computed properties:
Energy relative to the elements: 0.1189 eV per atom

Cell and atoms, written as extended XYZ:
```
4
Lattice="2.670 0.000 0.000 0.000 2.670 0.000 0.000 0.000 7.219" Properties=species:S:1:pos:R:3 pbc="T T T"
Cu 0.000 0.000 5.317
Cu 0.000 0.000 1.902
W 1.335 1.335 0.000
Zn 1.335 1.335 3.610
```

# 20
A plane-wave DFT calculation with SCAN was carried out for ZnCuW2 at its PBEsol-relaxed geometry.

Computed properties:
Energy relative to the elements: 0.3037 eV per atom

Cell and atoms, written as extended XYZ:
```
4
Lattice="2.624 0.101 0.161 -0.069 4.856 0.029 -0.069 -2.073 4.392" Properties=species:S:1:pos:R:3 pbc="T T T"
Cu 1.243 1.442 2.291
W -0.035 2.428 0.014
W -0.035 -1.036 2.196
Zn 1.312 0.051 0.080
```

# 21
A plane-wave DFT calculation with SCAN was carried out for ZnCuW2 at its PBEsol-relaxed geometry.

Computed properties:
Energy relative to the elements: 0.3414 eV per atom

Cell and atoms, written as extended XYZ:
```
4
Lattice="3.210 0.000 0.000 0.000 3.210 0.000 0.000 0.000 5.606" Properties=species:S:1:pos:R:3 pbc="T T T"
Cu 1.605 1.605 4.105
W 0.000 0.000 0.058
W 1.605 1.605 1.338
Zn 0.000 0.000 2.908
```

# 22
A plane-wave DFT calculation with SCAN was carried out for ZrCu2W at its PBEsol-relaxed geometry.

Computed properties:
Energy relative to the elements: 0.2090 eV per atom
Polymorph energy (0 for the lowest one): 0.03 eV/f.u.

Cell and atoms, written as extended XYZ:
```
4
Lattice="3.942 0.000 0.000 0.000 3.942 0.000 -1.971 -1.971 3.817" Properties=species:S:1:pos:R:3 pbc="T T T"
Cu 1.971 0.000 1.909
Cu 0.000 1.971 1.909
W 1.971 1.971 0.000
Zr 0.000 0.000 0.000
```

# 23
A plane-wave DFT calculation with SCAN was carried out for ZrCu2W at its PBEsol-relaxed geometry.

Computed properties:
Energy relative to the elements: 0.2018 eV per atom
Polymorph energy (0 for the lowest one): 0.00 eV/f.u.

Cell and atoms, written as extended XYZ:
```
4
Lattice="2.771 0.040 0.000 -0.039 2.771 0.000 0.000 0.000 7.677" Properties=species:S:1:pos:R:3 pbc="T T T"
Cu 0.000 0.000 2.045
Cu 0.000 0.000 5.632
W 1.366 1.406 3.839
Zr 1.366 1.406 0.000
```

# 24
A plane-wave DFT calculation with SCAN was carried out for ZrCu2W at its PBEsol-relaxed geometry.

Computed properties:
Energy relative to the elements: 0.2568 eV per atom
Polymorph energy (0 for the lowest one): 0.22 eV/f.u.

Cell and atoms, written as extended XYZ:
```
4
Lattice="-3.027 0.942 0.674 -0.729 -3.016 0.939 1.603 1.292 5.394" Properties=species:S:1:pos:R:3 pbc="T T T"
Cu 0.046 0.037 0.154
Cu -1.491 -0.725 2.110
W 0.752 0.606 2.532
Zr -0.660 -0.055 4.908
```

# 25
A plane-wave DFT calculation with SCAN was carried out for ZrCu2W at its PBEsol-relaxed geometry.

Computed properties:
Energy relative to the elements: 0.2535 eV per atom
Polymorph energy (0 for the lowest one): 0.21 eV/f.u.

Cell and atoms, written as extended XYZ:
```
4
Lattice="2.833 0.000 0.000 0.000 4.649 0.000 -1.416 -2.325 4.530" Properties=species:S:1:pos:R:3 pbc="T T T"
Cu 0.000 0.000 0.178
Cu 1.416 0.000 2.136
W 0.000 0.000 4.406
Zr 0.000 2.325 2.341
```

# 26
A plane-wave DFT calculation with SCAN was carried out for ZrCu2W at its PBEsol-relaxed geometry.

Computed properties:
Energy relative to the elements: 0.3106 eV per atom
Polymorph energy (0 for the lowest one): 0.44 eV/f.u.

Cell and atoms, written as extended XYZ:
```
4
Lattice="-2.772 2.417 0.908 -1.666 -2.692 2.080 4.390 1.374 1.846" Properties=species:S:1:pos:R:3 pbc="T T T"
Cu 0.000 0.000 0.000
Cu -0.301 1.826 2.124
W -2.219 -0.138 1.494
Zr 0.252 -0.728 2.710
```

# 27
A plane-wave DFT calculation with SCAN was carried out for Y2Cu at its PBEsol-relaxed geometry.

Computed properties:
Energy relative to the elements: -0.1523 eV per atom

Cell and atoms, written as extended XYZ:
```
6
Lattice="5.740 -0.005 0.000 -2.477 5.178 0.000 -1.631 -2.586 4.858" Properties=species:S:1:pos:R:3 pbc="T T T"
Cu 2.447 3.879 0.000
Cu 0.816 1.293 0.000
Y -2.054 1.296 4.128
Y 3.686 1.291 0.729
Y 0.617 -0.389 2.429
Y 1.014 2.975 2.429
```

# 28
A plane-wave DFT calculation with SCAN was carried out for YCu13 at its PBEsol-relaxed geometry.

Computed properties:
Energy relative to the elements: -0.0604 eV per atom

Cell and atoms, written as extended XYZ:
```
28
Lattice="8.000 0.000 0.000 4.000 6.928 0.000 4.000 2.309 6.532" Properties=species:S:1:pos:R:3 pbc="T T T"
Cu 7.503 3.243 5.212
Cu 5.616 4.332 3.672
Cu 10.384 4.906 2.860
Cu 8.497 5.995 1.320
Cu 7.057 2.411 2.860
Cu 8.944 3.501 1.320
Cu 7.057 5.737 5.212
Cu 8.944 6.827 3.672
Cu 9.440 2.698 3.672
Cu 9.440 4.877 5.212
Cu 6.560 4.361 1.320
Cu 6.560 6.540 2.860
Cu 5.440 2.051 4.586
Cu 5.440 4.230 6.126
Cu 10.560 5.007 0.406
Cu 10.560 7.186 1.946
Cu 6.384 6.641 0.406
Cu 4.497 5.552 1.946
Cu 11.503 3.686 4.586
Cu 9.616 2.596 6.126
Cu 8.944 7.030 6.126
Cu 7.057 8.119 4.586
Cu 8.944 1.118 1.946
Cu 7.057 2.208 0.406
Cu 8.000 4.619 3.266
Cu 0.000 0.000 0.000
Y 12.000 6.928 4.899
Y 4.000 2.309 1.633
```

Number 1: size of the total moment 0.000 Bohr magnetons per cell. Number 2: size of the total moment 0.000 Bohr magnetons per cell. Number 3: size of the total moment 0.000 Bohr magnetons per cell. Number 4: size of the total moment 0.000 Bohr magnetons per cell. Number 5: size of the total moment 0.000 Bohr magnetons per cell. Number 6: size of the total moment 0.000 Bohr magnetons per cell. Number 7: size of the total moment 0.000 Bohr magnetons per cell. Number 8: size of the total moment 0.000 Bohr magnetons per cell. Number 9: size of the total moment 0.000 Bohr magnetons per cell. Number 10: size of the total moment 1.544 Bohr magnetons per cell. Number 11: size of the total moment 0.000 Bohr magnetons per cell. Number 12: size of the total moment 0.000 Bohr magnetons per cell. Number 13: size of the total moment 0.000 Bohr magnetons per cell. Number 14: size of the total moment 0.000 Bohr magnetons per cell. Number 15: size of the total moment 0.000 Bohr magnetons per cell. Number 16: size of the total moment 0.000 Bohr magnetons per cell. Number 17: size of the total moment 0.000 Bohr magnetons per cell. Number 18: size of the total moment 0.000 Bohr magnetons per cell. Number 19: size of the total moment 0.000 Bohr magnetons per cell. Number 20: size of the total moment 0.000 Bohr magnetons per cell. Number 21: size of the total moment 0.000 Bohr magnetons per cell. Number 22: size of the total moment 0.000 Bohr magnetons per cell. Number 23: size of the total moment 0.000 Bohr magnetons per cell. Number 24: size of the total moment 0.764 Bohr magnetons per cell. Number 25: size of the total moment 0.000 Bohr magnetons per cell. Number 26: size of the total moment 0.000 Bohr magnetons per cell. Number 27: size of the total moment 2.388 Bohr magnetons per cell. Number 28: size of the total moment 0.000 Bohr magnetons per cell.